[1]
Hf2Ir after structural relaxation. Source: OQMD via LeMat-Bulk, functional PBE-GGA.

Calculated values
- ρ: 15.7 g/cm3
- Calculated formation energy: -0.576 eV/atom
- Calculated total energy: -10.1650 eV/atom

Cell: 7.6855 7.6855 3.4105 Å, 90.00 90.00 120.00°
Closest atoms and distances in Å follow each position.
Fractional positions:
Hf1 0.7367 0.0000 0.0000  4 Ir 2.65-2.87
Hf2 0.2633 0.2633 0.0000  4 Ir 2.65-2.87
Hf3 0.0000 0.7367 0.0000  4 Ir 2.65-2.87
Hf4 0.4100 0.0000 0.5000  5 Ir 2.88-3.15, 2 Hf 3.03
Hf5 0.0000 0.4100 0.5000  5 Ir 2.88-3.15, 2 Hf 3.03
Hf6 0.5900 0.5900 0.5000  5 Ir 2.88-3.15, 2 Hf 3.03
Ir1 0.6667 0.3333 0.0000  9 Hf 2.87-2.88
Ir2 0.3333 0.6667 0.0000  9 Hf 2.87-2.88
Ir3 0.0000 0.0000 0.5000  6 Hf 2.65

=====

[2]
HfIr after structural relaxation. Source: OQMD via LeMat-Bulk, functional PBE-GGA.

Calculated values
- ρ: 17.5 g/cm3
- Calculated formation energy: -0.922 eV/atom
- Calculated total energy: -10.3275 eV/atom

Cell: 4.6782 3.0551 4.9125 Å, 90.00 90.00 90.00°
Closest atoms and distances in Å follow each position.
Fractional positions:
Hf1 0.7500 0.0000 0.2300  8 Ir 2.81-2.98, 2 Hf 3.06
Hf2 0.2500 0.0000 0.7700  8 Ir 2.81-2.98, 2 Hf 3.06
Ir1 0.2500 0.5000 0.2902  8 Hf 2.81-2.98, 4 Ir 3.06-3.12
Ir2 0.7500 0.5000 0.7098  8 Hf 2.81-2.98, 4 Ir 3.06-3.12

=====

[3]
HfIr after structural relaxation. Source: OQMD via LeMat-Bulk, functional PBE-GGA.

Calculated values
- ρ: 15.8 g/cm3
- Calculated formation energy: -0.567 eV/atom
- Calculated total energy: -9.9719 eV/atom

Cell: 3.8072 3.8072 3.8072 Å, 60.00 60.00 60.00°
Closest atoms and distances in Å follow each position.
Fractional positions:
Hf1 0.0000 0.0000 0.0000  6 Ir 2.69
Ir1 0.5000 0.5000 0.5000  6 Hf 2.69

=====

[4]
HfIr2 after structural relaxation. Source: OQMD via LeMat-Bulk, functional PBE-GGA.

Calculated values
- ρ: 19.3 g/cm3
- Calculated formation energy: -0.876 eV/atom
- Calculated total energy: -10.0973 eV/atom

Cell: 12.7323 12.7323 12.7323 Å, 162.14 162.14 25.37°
Closest atoms and distances in Å follow each position.
Fractional positions:
Hf1 0.0767 0.0767 0.0000  10 Ir 2.74-3.01
Hf2 0.9233 0.9233 0.0000  10 Ir 2.74-3.01
Hf3 0.6733 0.1733 0.5000  10 Ir 2.74-3.01
Hf4 0.8267 0.3267 0.5000  10 Ir 2.74-3.01
Ir1 0.2504 0.2504 0.0000  4 Hf 2.74-2.75, 8 Ir 2.80-2.85
Ir2 0.4179 0.4179 0.0000  6 Hf 2.80-3.01, 6 Ir 2.83-2.91
Ir3 0.5821 0.5821 0.0000  6 Hf 2.80-3.01, 6 Ir 2.83-2.91
Ir4 0.7496 0.7496 0.0000  4 Hf 2.74-2.75, 8 Ir 2.80-2.85
Ir5 0.0004 0.5004 0.5000  4 Hf 2.74-2.75, 8 Ir 2.80-2.85
Ir6 0.1679 0.6679 0.5000  6 Hf 2.80-3.01, 6 Ir 2.83-2.91
Ir7 0.3321 0.8321 0.5000  6 Hf 2.80-3.01, 6 Ir 2.83-2.91
Ir8 0.4996 0.9996 0.5000  4 Hf 2.74-2.75, 8 Ir 2.80-2.85

=====

[5]
KHfIrS3 after structural relaxation. Source: OQMD via LeMat-Bulk, functional PBE-GGA.

Calculated values
- ρ: 6.5 g/cm3
- Calculated total energy: -6.4284 eV/atom

Cell: 7.7480 7.7480 9.6261 Å, 90.00 90.00 153.41°
Closest atoms and distances in Å follow each position.
Fractional positions:
Hf1 0.5000 0.5000 0.0000  6 S 2.61-2.66
Hf2 0.5000 0.5000 0.5000  6 S 2.61-2.66
Ir1 0.9785 0.0215 0.2500  4 S 2.31-2.39
Ir2 0.0215 0.9785 0.7500  4 S 2.31-2.39
K1 0.2527 0.7473 0.2500  8 S 3.20-3.56, 2 K 3.56
K2 0.7473 0.2527 0.7500  8 S 3.20-3.56, 2 K 3.56
S1 0.8786 0.1214 0.0573  1 Ir 2.39, 2 Hf 2.61
S2 0.5756 0.4244 0.2500  2 Ir 2.31
S3 0.8786 0.1214 0.4427  1 Ir 2.39, 2 Hf 2.61
S4 0.1214 0.8786 0.5573  1 Ir 2.39, 2 Hf 2.61
S5 0.4244 0.5756 0.7500  2 Ir 2.31
S6 0.1214 0.8786 0.9427  1 Ir 2.39, 2 Hf 2.61

=====

[6]
LaHfIr after structural relaxation. Source: OQMD via LeMat-Bulk, functional PBE-GGA.

Calculated values
- ρ: 10.9 g/cm3
- Calculated formation energy: -0.312 eV/atom
- Calculated total energy: -8.2231 eV/atom

Cell: 4.7859 4.7859 4.7859 Å, 60.00 60.00 60.00°
Closest atoms and distances in Å follow each position.
Fractional positions:
Hf1 0.2500 0.2500 0.2500  4 Ir 2.93
Ir1 0.0000 0.0000 0.0000  4 Hf 2.93, 4 La 2.93
La1 0.7500 0.7500 0.7500  4 Ir 2.93